Record 1
Ba2TmTe2F2: relaxed, PBE.

The calculation puts the total energy at -5.01 eV per atom. Its total magnetization is 1.00 μB/cell.

It has space group P-4m2 (No. 115), with a = 4.471 Å, b = 4.471 Å, c = 10.174 Å, α = 90.00°, β = 90.00° and γ = 90.00°. The distinct sites, in fractional coordinates, are Ba at (0.000, 0.500, 0.143), Tm at (0.500, 0.500, 0.500), Te at (0.000, 0.500, 0.687), F at (0.000, 0.000, 0.000) and F at (0.500, 0.500, 0.000).


Record 2
BaUF6: relaxed, PBE.

The calculation puts the total energy at -6.77 eV per atom. Its total magnetization is 8.00 μB/cell.

It has space group P2_1/c (No. 14), with a = 8.167 Å, b = 7.570 Å, c = 8.537 Å, α = 90.00°, β = 120.15° and γ = 90.00°. The distinct sites, in fractional coordinates, are Ba at (0.114, 0.174, 0.248), U at (0.384, 0.691, 0.244), F at (0.107, 0.655, 0.618), F at (0.185, 0.517, 0.276), F at (0.192, 0.605, 0.958), F at (0.301, 0.234, 0.084), F at (0.447, 0.513, 0.823) and F at (0.476, 0.669, 0.559).


Record 3
BaZnF4: relaxed, PBE.

The calculation puts the total energy at -4.86 eV per atom.

It has space group Cmc2_1 (No. 36), with a = 4.185 Å, b = 14.227 Å, c = 5.740 Å, α = 90.00°, β = 90.00° and γ = 90.00°. The distinct sites, in fractional coordinates, are Ba at (0.000, 0.142, 0.000), Zn at (0.000, 0.408, 0.969), F at (0.000, 0.076, 0.465), F at (0.000, 0.298, 0.755), F at (0.000, 0.325, 0.240) and F at (0.000, 0.472, 0.648).


Record 4
BaZnF4: relaxed, PBE.

The calculation puts the total energy at -4.80 eV per atom.

It has space group I4/mcm (No. 140), with a = 5.914 Å, b = 5.914 Å, c = 10.914 Å, α = 90.00°, β = 90.00° and γ = 90.00°. The distinct sites, in fractional coordinates, are Ba at (0.000, 0.000, 0.250), Zn at (0.000, 0.500, 0.000) and F at (0.171, 0.329, 0.120).


Record 5
BaZnF4: relaxed, PBE.

The calculation puts the total energy at -4.74 eV per atom.

It has space group P4/nmm (No. 129, origin choice 2), with a = 4.008 Å, b = 4.008 Å, c = 10.323 Å, α = 90.00°, β = 90.00° and γ = 90.00°. The distinct sites, in fractional coordinates, are Ba at (0.250, 0.250, 0.156), Zn at (0.250, 0.250, 0.615), F at (0.250, 0.250, 0.805), F at (0.250, 0.750, 0.000) and F at (0.250, 0.750, 0.376).


Record 6
BaZnF4: relaxed, PBE.

The calculation puts the total energy at -4.81 eV per atom.

It has space group Pc (No. 7), with a = 4.020 Å, b = 5.823 Å, c = 14.052 Å, α = 90.00°, β = 106.16° and γ = 90.00°. The distinct sites, in fractional coordinates, are Ba at (0.000, 0.115, 0.000), Ba at (0.767, 0.380, 0.267), Zn at (0.271, 0.134, 0.767), Zn at (0.497, 0.372, 0.500), F at (0.182, 0.396, 0.681), F at (0.191, 0.146, 0.191), F at (0.382, 0.381, 0.881), F at (0.388, 0.120, 0.386), F at (0.575, 0.348, 0.076), F at (0.584, 0.110, 0.586), F at (0.800, 0.125, 0.798) and F at (0.968, 0.379, 0.469).


Record 7
Ba2ZrF8: relaxed, PBE.

The calculation puts the total energy at -6.31 eV per atom. Its total magnetization is 0.00 μB/cell.

It has space group Pnma (No. 62), with a = 9.484 Å, b = 5.536 Å, c = 11.787 Å, α = 90.00°, β = 90.00° and γ = 90.00°. The distinct sites, in fractional coordinates, are Ba at (0.063, 0.250, 0.160), Ba at (0.141, 0.250, 0.557), Zr at (0.245, 0.750, 0.358), F at (0.087, 0.012, 0.364), F at (0.126, 0.750, 0.188), F at (0.137, 0.010, 0.961), F at (0.153, 0.750, 0.530) and F at (0.162, 0.001, 0.750).


Record 8
BaZr2F10: relaxed, PBE.

The calculation puts the total energy at -6.63 eV per atom. Its total magnetization is 0.01 μB/cell.

It has space group C2/c (No. 15), with a = 5.925 Å, b = 15.153 Å, c = 8.626 Å, α = 90.00°, β = 107.18° and γ = 90.00°. The distinct sites, in fractional coordinates, are Ba at (0.000, 0.070, 0.250), Zr at (0.180, 0.344, 0.099), F at (0.000, 0.209, 0.750), F at (0.000, 0.287, 0.250), F at (0.128, 0.351, 0.573), F at (0.140, 0.200, 0.065), F at (0.223, 0.045, 0.996) and F at (0.246, 0.428, 0.287).


Record 9
BaFe3: relaxed, PBE.

The calculation puts the total energy at -6.22 eV per atom. Its total magnetization is 14.79 μB/cell.

It has space group P6_3/mmc (No. 194), with a = 7.0248 Å, b = 7.0248 Å, c = 4.1153 Å, α = 90.00°, β = 90.00° and γ = 120.00°. The distinct sites, in fractional coordinates, are Ba at (0.3333, 0.6667, 0.2500) and Fe at (0.1121, 0.2242, 0.7500).


Record 10
BaFe3: relaxed, PBE.

The calculation puts the total energy at -5.61 eV per atom. Its total magnetization is 15.84 μB/cell.

It has space group I4/mmm (No. 139), with a = 4.094 Å, b = 4.094 Å, c = 8.715 Å, α = 90.00°, β = 90.00° and γ = 90.00°. The distinct sites, in fractional coordinates, are Ba at (0.000, 0.000, 0.000), Fe at (0.000, 0.000, 0.500) and Fe at (0.000, 0.500, 0.250).


Record 11
Ba3Fe: relaxed, PBE.

As for the offset from the most stable computed form: 0.0209 eV/atom. Its total magnetization is 1.90 μB/cell.

It has space group Pm-3m (No. 221), with a = 5.635 Å, b = 5.635 Å, c = 5.635 Å, α = 90.00°, β = 90.00° and γ = 90.00°. The distinct sites, in fractional coordinates, are Ba at (0.000, 0.000, 0.500) and Fe at (0.500, 0.500, 0.500).


Record 12
BaFe: relaxed, PBE.

The calculation puts the total energy at -4.04 eV per atom. Its total magnetization is 4.61 μB/cell.

It has space group Amm2 (No. 38), with a = 4.521 Å, b = 3.528 Å, c = 7.771 Å, α = 90.00°, β = 90.00° and γ = 90.00°. The distinct sites, in fractional coordinates, are Ba at (0.000, 0.000, 0.000) and Fe at (0.500, 0.000, 0.709).


Record 13
Ba3Fe: relaxed, PBE.

As for the offset from the most stable computed form: 0.0418 eV/atom. Its total magnetization is 3.85 μB/cell.

It has space group I4/mmm (No. 139), with a = 5.422 Å, b = 5.422 Å, c = 12.106 Å, α = 90.00°, β = 90.00° and γ = 90.00°. The distinct sites, in fractional coordinates, are Ba at (0.000, 0.000, 0.000), Ba at (0.000, 0.500, 0.250) and Fe at (0.000, 0.000, 0.500).


Record 14
BaFe: relaxed, PBE.

The calculation puts the total energy at -3.67 eV per atom. Its total magnetization is 8.88 μB/cell.

It has space group F-43m (No. 216), with a = 7.042 Å, b = 7.042 Å, c = 7.042 Å, α = 90.00°, β = 90.00° and γ = 90.00°. The distinct sites, in fractional coordinates, are Ba at (0.000, 0.000, 0.000) and Fe at (0.250, 0.250, 0.750).


Record 15
Ba3Fe: relaxed, PBE.

As for the offset from the most stable computed form: 0.0000 eV/atom. Its total magnetization is 4.51 μB/cell.

It has space group P6_3/mmc (No. 194), with a = 7.9729 Å, b = 7.9729 Å, c = 5.9652 Å, α = 90.00°, β = 90.00° and γ = 120.00°. The distinct sites, in fractional coordinates, are Ba at (0.1782, 0.3563, 0.2500) and Fe at (0.3333, 0.6667, 0.7500).


Record 16
BaGa2Fe: relaxed, PBE.

The calculation puts the total energy at -3.67 eV per atom. Its total magnetization is 10.98 μB/cell.

It has space group F-43m (No. 216), with a = 6.989 Å, b = 6.989 Å, c = 6.989 Å, α = 90.00°, β = 90.00° and γ = 90.00°. The distinct sites, in fractional coordinates, are Ba at (0.000, 0.000, 0.000), Ga at (0.000, 0.000, 0.500), Ga at (0.250, 0.250, 0.250) and Fe at (0.250, 0.250, 0.750).


Record 17
Ba2GaFe: relaxed, PBE.

The calculation puts the total energy at -3.34 eV per atom. Its total magnetization is 11.68 μB/cell.

It has space group F-43m (No. 216), with a = 7.561 Å, b = 7.561 Å, c = 7.561 Å, α = 90.00°, β = 90.00° and γ = 90.00°. The distinct sites, in fractional coordinates, are Ba at (0.000, 0.000, 0.000), Ba at (0.250, 0.250, 0.250), Ga at (0.000, 0.000, 0.500) and Fe at (0.250, 0.250, 0.750).


Record 18
BaFe2Ge2: relaxed, PBE.

The calculation puts the total energy at -5.57 eV per atom. Its total magnetization is 17.08 μB/cell.

It has space group Pnma (No. 62), with a = 9.995 Å, b = 3.916 Å, c = 10.820 Å, α = 90.00°, β = 90.00° and γ = 90.00°. The distinct sites, in fractional coordinates, are Ba at (0.246, 0.250, 0.174), Fe at (0.028, 0.250, 0.908), Fe at (0.074, 0.250, 0.462), Ge at (0.020, 0.750, 0.326) and Ge at (0.162, 0.750, 0.952).


Record 19
Ba2LiFeH6: relaxed, PBE.

The calculation puts the total energy at -3.79 eV per atom. Its total magnetization is 4.00 μB/cell.

It has space group Fm-3m (No. 225), with a = 7.851 Å, b = 7.851 Å, c = 7.851 Å, α = 90.00°, β = 90.00° and γ = 90.00°. The distinct sites, in fractional coordinates, are Ba at (0.250, 0.250, 0.250), Li at (0.000, 0.000, 0.000), Fe at (0.000, 0.000, 0.500) and H at (0.000, 0.000, 0.279).


Record 20
BaHfFe2: relaxed, PBE.

The calculation puts the total energy at -6.16 eV per atom. Its total magnetization is 16.43 μB/cell.

It has space group F-43m (No. 216), with a = 6.775 Å, b = 6.775 Å, c = 6.775 Å, α = 90.00°, β = 90.00° and γ = 90.00°. The distinct sites, in fractional coordinates, are Ba at (0.000, 0.000, 0.000), Hf at (0.250, 0.250, 0.250), Fe at (0.000, 0.000, 0.500) and Fe at (0.250, 0.250, 0.750).